A crystal of Cs2KGeC relaxed with PBEsol. Source: the Alexandria database, functional SCAN.

Results
Formation energy from the elements (eV per atom): 1.334

Cell: 6.8127 6.8127 4.9606 Å, 90.00 90.00 90.00°
With the nearest neighbours (Å) after each atom.
Space group P4/mmm (No. 123)
Asymmetric unit:
Cs: 0.0000 0.5000 0.0000 (multiplicity 2)  2 K 3.41
K: 0.0000 0.0000 0.0000 (multiplicity 1)  2 C 2.48
Ge: 0.5000 0.5000 0.5000 (multiplicity 1)  8 Cs 4.21
C: 0.0000 0.0000 0.5000 (multiplicity 1)  2 K 2.48

A crystal of Cs2MgH8C4O12 relaxed with PBEsol. Source: the Alexandria database, functional SCAN.

Results
DFT total energy (eV/atom): -9.732

Cell: 16.9865 7.2924 13.4909 Å, 90.00 128.60 90.00°
With the nearest neighbours (Å) after each atom.
Space group C2/c (No. 15)
Asymmetric unit:
Cs: 0.2057 0.0663 0.1038 (multiplicity 8)  8 O 3.13-3.45, 1 H 3.43
Mg: 0.0000 0.4138 0.7500 (multiplicity 4)  6 O 2.03-2.10
H: 0.0554 0.2212 0.6358 (multiplicity 8)  1 O 1.00
H: 0.0921 0.1013 0.7621 (multiplicity 8)  1 O 1.02
H: 0.0989 0.1909 0.2835 (multiplicity 8)  1 O 1.00
H: 0.2037 0.0901 0.3625 (multiplicity 8)  1 O 1.01
C: 0.0160 0.3313 0.4261 (multiplicity 8)  2 O 1.25-1.28
C: 0.1206 0.4278 0.4995 (multiplicity 8)  2 O 1.26-1.27
O: 0.0011 0.2174 0.4821 (multiplicity 8)  1 C 1.25
O: 0.0472 0.3765 0.1907 (multiplicity 8)  1 C 1.28
O: 0.0745 0.2293 0.7227 (multiplicity 8)  2 H 1.00-1.02
O: 0.1269 0.4463 0.9396 (multiplicity 8)  1 C 1.27
O: 0.1347 0.0820 0.3402 (multiplicity 8)  2 H 1.00-1.01
O: 0.1908 0.3716 0.6095 (multiplicity 8)  1 C 1.26

A crystal of CsH4CN3 relaxed with PBEsol. Source: the Alexandria database, functional SCAN.

Results
DFT total energy (eV/atom): -10.358

Cell: 7.0751 7.1427 7.6526 Å, 90.00 90.00 90.00°
With the nearest neighbours (Å) after each atom.
Space group Pnma (No. 62)
Asymmetric unit:
Cs: 0.0129 0.2500 0.0769 (multiplicity 4)  10 H 3.03-3.31, 1 C 3.24, 8 N 3.28-3.33
H: 0.0728 0.6247 0.5529 (multiplicity 8)  1 N 1.05
H: 0.2199 0.6009 0.2709 (multiplicity 8)  1 N 1.03
C: 0.1120 0.2500 0.6279 (multiplicity 4)  3 N 1.35-1.38
N: 0.0313 0.7500 0.4937 (multiplicity 4)  2 H 1.05
N: 0.1738 0.0807 0.6803 (multiplicity 8)  1 H 1.03

A crystal of CsH3CN2O relaxed with PBEsol. Source: the Alexandria database, functional SCAN.

Results
DFT total energy (eV/atom): -11.126

Cell: 6.3899 7.0056 8.9692 Å, 90.00 90.00 90.00°
With the nearest neighbours (Å) after each atom.
Space group P2_12_12_1 (No. 19)
Asymmetric unit:
Cs: 0.1532 0.0720 0.1306 (multiplicity 4)  5 H 2.91-3.26, 3 O 2.94-3.05, 1 N 3.24
H: 0.0368 0.3242 0.6406 (multiplicity 4)  1 N 1.05
H: 0.1660 0.2297 0.4308 (multiplicity 4)  1 N 1.03
H: 0.1801 0.5017 0.7471 (multiplicity 4)  1 N 1.04
C: 0.1837 0.5790 0.0451 (multiplicity 4)  1 O 1.29, 2 N 1.34-1.38
N: 0.1703 0.4080 0.6574 (multiplicity 4)  2 H 1.04-1.05
N: 0.2045 0.6829 0.9203 (multiplicity 4)  1 H 1.03
O: 0.0261 0.4671 0.0654 (multiplicity 4)  1 C 1.29

A crystal of CsHCO3 relaxed with PBEsol. Source: the Alexandria database, functional SCAN.

Results
DFT total energy (eV/atom): -13.295

Cell: 4.3730 13.1245 7.7432 Å, 90.00 114.42 90.00°
With the nearest neighbours (Å) after each atom.
Space group P2_1/c (No. 14)
Asymmetric unit:
Cs: 0.2005 0.1451 0.0939 (multiplicity 4)  7 O 3.00-3.34, 1 H 3.14
H: 0.0030 0.0605 0.4126 (multiplicity 4)  1 O 1.07
C: 0.2963 0.0934 0.6836 (multiplicity 4)  3 O 1.26-1.34
O: 0.1637 0.1189 0.4990 (multiplicity 4)  1 H 1.07
O: 0.2147 0.0066 0.7311 (multiplicity 4)  1 C 1.29, 1 H 1.43
O: 0.4892 0.1566 0.8001 (multiplicity 4)  1 C 1.26

A crystal of Cs2H6CO6 relaxed with PBEsol. Source: the Alexandria database, functional SCAN.

Results
DFT total energy (eV/atom): -11.010

Cell: 6.4017 6.8451 8.6334 Å, 90.00 90.55 90.00°
With the nearest neighbours (Å) after each atom.
Space group P2/c (No. 13)
Asymmetric unit:
Cs: 0.2416 0.1491 0.0741 (multiplicity 4)  2 H 2.94-3.12, 8 O 2.99-3.29
H: 0.1231 0.2719 0.7369 (multiplicity 4)  1 O 1.01
H: 0.2677 0.3443 0.5280 (multiplicity 4)  1 O 1.00
H: 0.2836 0.4008 0.3492 (multiplicity 4)  1 O 1.01
C: 0.5000 0.3270 0.7500 (multiplicity 2)  3 O 1.27-1.31
O: 0.0000 0.1822 0.7500 (multiplicity 2)  2 H 1.01
O: 0.2488 0.2904 0.4215 (multiplicity 4)  2 H 1.00-1.01
O: 0.3289 0.4256 0.7176 (multiplicity 4)  1 C 1.31
O: 0.5000 0.1415 0.7500 (multiplicity 2)  1 C 1.27